(1)
Density functional theory data (PBE-GGA) for a relaxed Pr2Dy3Er4 crystal.

```
Pr2Dy3Er4
1.0
8.160 -5.796 0.000
8.160 5.796 0.000
-0.674 0.000 6.094
Pr Dy Er
4 6 8
direct
0.021 0.731 0.678
0.269 0.979 0.822
0.731 0.021 0.178
0.979 0.269 0.322
0.099 0.901 0.250
0.238 0.434 0.399
0.434 0.238 0.899
0.566 0.762 0.101
0.762 0.566 0.601
0.901 0.099 0.750
0.080 0.356 0.849
0.315 0.593 0.984
0.356 0.080 0.349
0.407 0.685 0.516
0.593 0.315 0.484
0.644 0.920 0.651
0.685 0.407 0.016
0.920 0.644 0.151
```

Summary:
- ΔH_f (0 K): 83 kJ/mol of formula units
- Space group: C2/c
- Total magnetization: 0.0 μB/f.u.
- Fermi-level density of states: 12.35 states/eV/f.u.


(2)
Density functional theory data (PBE-GGA) for a relaxed Pr2Dy7Er3 crystal.

```
Pr2Dy7Er3
1.0
6.334 0.000 0.000
0.000 3.517 0.000
-1.867 0.000 17.345
Pr Dy Er
2 7 3
direct
0.060 0.000 0.173
0.940 0.000 0.827
0.000 0.500 0.500
0.228 0.000 0.667
0.257 0.000 0.999
0.276 0.500 0.338
0.724 0.500 0.662
0.743 0.000 0.001
0.772 0.000 0.333
0.451 0.500 0.843
0.500 0.000 0.500
0.549 0.500 0.157
```

Summary:
- ΔH_f (0 K): 89 kJ/mol of formula units
- Space group: P2/m
- Total magnetization: 0.0 μB/f.u.
- Fermi-level density of states: 17.34 states/eV/f.u.


(3)
Density functional theory data (PBE-GGA) for a relaxed Pr8Dy2Er3 crystal.

```
Pr8Dy2Er3
1.0
7.759 0.000 0.000
0.000 5.759 0.000
-3.876 0.000 10.251
Pr Dy Er
8 2 3
direct
0.099 0.000 0.290
0.174 0.500 0.848
0.309 0.000 0.710
0.370 0.500 0.240
0.630 0.500 0.760
0.691 0.000 0.290
0.826 0.500 0.152
0.901 0.000 0.710
0.261 0.000 0.022
0.739 0.000 0.978
0.214 0.500 0.500
0.500 0.000 0.500
0.786 0.500 0.500
```

Summary:
- ΔH_f (0 K): 246 kJ/mol of formula units
- Space group: P2/m
- Total magnetization: 0.0 μB/f.u.
- Fermi-level density of states: 17.96 states/eV/f.u.


(4)
Density functional theory data (PBE-GGA) for a relaxed Pr2Dy5Er12 crystal.

```
Pr2Dy5Er12
1.0
6.125 0.000 0.000
-0.019 9.368 0.000
-1.026 -2.029 10.360
Pr Dy Er
2 5 12
direct
0.079 0.315 0.473
0.921 0.685 0.527
0.238 0.947 0.420
0.342 0.368 0.052
0.500 0.000 0.000
0.658 0.632 0.948
0.762 0.053 0.580
0.026 0.105 0.156
0.132 0.526 0.792
0.184 0.737 0.104
0.290 0.157 0.739
0.396 0.579 0.367
0.447 0.790 0.686
0.553 0.210 0.314
0.604 0.421 0.633
0.710 0.843 0.261
0.816 0.263 0.896
0.868 0.474 0.208
0.974 0.895 0.844
```

Summary:
- ΔH_f (0 K): 42 kJ/mol of formula units
- Space group: P-1
- Total magnetization: 0.0 μB/f.u.
- Fermi-level density of states: 26.05 states/eV/f.u.


(5)
Density functional theory data (PBE-GGA) for a relaxed PrDy2Er3 crystal.

```
PrDy2Er3
1.0
10.962 -1.816 0.000
10.962 1.816 0.000
-5.807 0.000 9.685
Pr Dy Er
2 4 6
direct
0.111 0.111 0.486
0.889 0.889 0.514
0.224 0.224 0.850
0.443 0.443 0.313
0.557 0.557 0.687
0.776 0.776 0.150
0.111 0.111 0.988
0.221 0.221 0.345
0.445 0.445 0.824
0.555 0.555 0.176
0.779 0.779 0.655
0.889 0.889 0.012
```

Summary:
- ΔH_f (0 K): 7 kJ/mol of formula units
- Space group: C2/m
- Total magnetization: 0.0 μB/f.u.
- Fermi-level density of states: 9.81 states/eV/f.u.


(6)
Density functional theory data (PBE-GGA) for a relaxed Pr2Dy3Er9 crystal.

```
Pr2Dy3Er9
1.0
5.359 0.000 0.000
-1.161 8.231 0.000
-1.958 -1.670 10.309
Pr Dy Er
2 3 9
direct
0.000 0.000 0.000
0.033 0.958 0.481
0.227 0.573 0.575
0.516 0.979 0.241
0.807 0.384 0.907
0.037 0.292 0.307
0.194 0.268 0.752
0.407 0.673 0.941
0.431 0.348 0.104
0.520 0.978 0.739
0.603 0.610 0.378
0.627 0.285 0.540
0.840 0.688 0.729
0.996 0.666 0.174
```

Summary:
- ΔH_f (0 K): 235 kJ/mol of formula units
- Space group: P1
- Total magnetization: 0.0 μB/f.u.
- Fermi-level density of states: 21.40 states/eV/f.u.


(7)
Density functional theory data (PBE-GGA) for a relaxed Pr2Dy3Er7 crystal.

```
Pr2Dy3Er7
1.0
2.830 -18.867 0.000
2.830 18.867 0.000
0.000 0.000 3.603
Pr Dy Er
2 3 7
direct
0.147 0.853 0.000
0.853 0.147 0.000
0.314 0.686 0.500
0.500 0.500 0.500
0.686 0.314 0.500
0.000 0.000 0.000
0.070 0.930 0.500
0.230 0.770 0.000
0.412 0.588 0.000
0.588 0.412 0.000
0.770 0.230 0.000
0.930 0.070 0.500
```

Summary:
- ΔH_f (0 K): 133 kJ/mol of formula units
- Space group: Cmmm
- Total magnetization: 0.0 μB/f.u.
- Fermi-level density of states: 17.60 states/eV/f.u.


(8)
Density functional theory data (PBE-GGA) for a relaxed Pr5Dy3Er crystal.

```
Pr5Dy3Er
1.0
-4.707 4.707 7.132
4.707 -4.707 7.132
4.707 4.707 -7.132
Pr Dy Er
10 6 2
direct
0.000 0.000 0.000
0.069 0.569 0.904
0.165 0.069 0.500
0.335 0.835 0.904
0.431 0.335 0.500
0.500 0.500 0.000
0.569 0.665 0.500
0.665 0.165 0.096
0.835 0.931 0.500
0.931 0.431 0.096
0.109 0.391 0.500
0.250 0.250 0.000
0.391 0.891 0.282
0.609 0.109 0.718
0.750 0.750 0.000
0.891 0.609 0.500
0.250 0.750 0.500
0.750 0.250 0.500
```

Summary:
- ΔH_f (0 K): 267 kJ/mol of formula units
- Space group: I4/mcm
- Total magnetization: 0.0 μB/f.u.
- Fermi-level density of states: 13.75 states/eV/f.u.


(9)
Density functional theory data (PBE-GGA) for a relaxed Pr2Dy2Er7 crystal.

```
Pr2Dy2Er7
1.0
5.602 -5.759 0.000
5.602 5.759 0.000
-2.462 0.000 5.543
Pr Dy Er
2 2 7
direct
0.096 0.096 0.308
0.904 0.904 0.692
0.288 0.712 0.000
0.712 0.288 0.000
0.088 0.564 0.321
0.271 0.271 0.923
0.436 0.912 0.679
0.500 0.500 0.500
0.564 0.088 0.321
0.729 0.729 0.077
0.912 0.436 0.679
```

Summary:
- ΔH_f (0 K): 162 kJ/mol of formula units
- Space group: C2/m
- Total magnetization: 0.0 μB/f.u.
- Fermi-level density of states: 17.76 states/eV/f.u.


(10)
Density functional theory data (PBE-GGA) for a relaxed PrDy4Er4 crystal.

```
PrDy4Er4
1.0
-5.323 5.323 2.499
5.323 -5.323 2.499
5.323 5.323 -2.499
Pr Dy Er
1 4 4
direct
0.000 0.000 0.000
0.000 0.334 0.334
0.000 0.666 0.666
0.334 0.000 0.334
0.666 0.000 0.666
0.332 0.332 0.664
0.332 0.668 0.000
0.668 0.332 0.000
0.668 0.668 0.336
```

Summary:
- ΔH_f (0 K): 19 kJ/mol of formula units
- Space group: I4/mmm
- Total magnetization: 0.0 μB/f.u.
- Fermi-level density of states: 12.89 states/eV/f.u.


(11)
Density functional theory data (PBE-GGA) for a relaxed Pr2DyEr8 crystal.

```
Pr2DyEr8
1.0
8.241 -3.294 0.000
8.241 3.294 0.000
-1.185 0.000 6.545
Pr Dy Er
2 1 8
direct
0.245 0.245 0.311
0.755 0.755 0.689
0.000 0.000 0.000
0.175 0.654 0.600
0.198 0.198 0.802
0.346 0.825 0.400
0.411 0.411 0.093
0.589 0.589 0.907
0.654 0.175 0.600
0.802 0.802 0.198
0.825 0.346 0.400
```

Summary:
- ΔH_f (0 K): 186 kJ/mol of formula units
- Space group: C2/m
- Total magnetization: 0.0 μB/f.u.
- Fermi-level density of states: 16.50 states/eV/f.u.


(12)
Density functional theory data (PBE-GGA) for a relaxed Pr2Dy6Er3Pu crystal.

```
Pr2Dy6Er3Pu
1.0
3.076 -5.334 0.000
3.076 5.334 0.000
-2.063 0.000 11.557
Pr Dy Er Pu
2 6 3 1
direct
0.167 0.833 0.000
0.833 0.167 0.000
0.087 0.416 0.747
0.255 0.255 0.253
0.416 0.087 0.747
0.584 0.913 0.253
0.745 0.745 0.747
0.913 0.584 0.253
0.000 0.000 0.500
0.333 0.667 0.500
0.667 0.333 0.500
0.500 0.500 0.000
```

Summary:
- ΔH_f (0 K): 61 kJ/mol of formula units
- Space group: C2/m
- Total magnetization: 6.2 μB/f.u.
- Fermi-level density of states: 25.85 states/eV/f.u.


(13)
Density functional theory data (PBE-GGA) for a relaxed Pr3Dy6Er2Pu crystal.

```
Pr3Dy6Er2Pu
1.0
3.092 -5.357 0.000
3.092 5.357 0.000
-2.067 0.000 11.585
Pr Dy Er Pu
3 6 2 1
direct
0.000 0.000 0.000
0.333 0.667 0.000
0.667 0.333 0.000
0.090 0.419 0.257
0.252 0.252 0.743
0.419 0.090 0.257
0.581 0.910 0.743
0.748 0.748 0.257
0.910 0.581 0.743
0.167 0.833 0.500
0.833 0.167 0.500
0.500 0.500 0.500
```

Summary:
- ΔH_f (0 K): 54 kJ/mol of formula units
- Space group: C2/m
- Total magnetization: 6.6 μB/f.u.
- Fermi-level density of states: 23.06 states/eV/f.u.


(14)
Density functional theory data (PBE-GGA) for a relaxed Pr2Dy3Er6Pu crystal.

```
Pr2Dy3Er6Pu
1.0
3.069 -5.320 0.000
3.069 5.320 0.000
-2.055 0.000 11.490
Pr Dy Er Pu
2 3 6 1
direct
0.166 0.834 0.000
0.834 0.166 0.000
0.000 0.000 0.500
0.333 0.667 0.500
0.667 0.333 0.500
0.088 0.417 0.749
0.255 0.255 0.251
0.417 0.088 0.749
0.583 0.912 0.251
0.745 0.745 0.749
0.912 0.583 0.251
0.500 0.500 0.000
```

Summary:
- ΔH_f (0 K): 58 kJ/mol of formula units
- Space group: C2/m
- Total magnetization: 6.3 μB/f.u.
- Fermi-level density of states: 24.55 states/eV/f.u.


(15)
Density functional theory data (PBE-GGA) for a relaxed Pr3Dy2Er6Pu crystal.

```
Pr3Dy2Er6Pu
1.0
3.083 -5.341 0.000
3.083 5.341 0.000
-2.057 0.000 11.505
Pr Dy Er Pu
3 2 6 1
direct
0.000 0.000 0.000
0.333 0.667 0.000
0.667 0.333 0.000
0.167 0.833 0.500
0.833 0.167 0.500
0.090 0.419 0.256
0.252 0.252 0.744
0.419 0.090 0.256
0.581 0.910 0.744
0.748 0.748 0.256
0.910 0.581 0.744
0.500 0.500 0.500
```

Summary:
- ΔH_f (0 K): 51 kJ/mol of formula units
- Space group: C2/m
- Total magnetization: 6.5 μB/f.u.
- Fermi-level density of states: 21.80 states/eV/f.u.


(16)
Density functional theory data (PBE-GGA) for a relaxed PrDyErRu crystal.

```
PrDyErRu
1.0
3.442 0.000 0.000
0.000 3.442 0.000
0.000 0.000 9.064
Pr Dy Er Ru
1 1 1 1
direct
0.000 0.000 0.000
0.500 0.500 0.677
0.500 0.500 0.319
0.000 0.000 0.496
```

Summary:
- ΔH_f (0 K): -96 kJ/mol of formula units
- Space group: P4mm
- Total magnetization: 0.0 μB/f.u.
- Fermi-level density of states: 2.78 states/eV/f.u.


(17)
Density functional theory data (PBE-GGA) for a relaxed PrDyEr2S4 crystal.

```
PrDyEr2S4
1.0
6.807 0.000 0.000
0.000 3.882 0.000
-2.219 0.000 6.536
Pr Dy Er S
1 1 2 4
direct
0.000 0.000 0.000
0.500 0.500 0.000
0.000 0.500 0.500
0.500 0.000 0.500
0.254 0.000 0.740
0.263 0.500 0.266
0.737 0.500 0.734
0.746 0.000 0.260
```

Summary:
- Uncorrected energy: -6.35 eV/atom
- Space group: P2/m
- Total magnetization: 0.0 μB/f.u.
- Fermi-level density of states: 4.41 states/eV/f.u.


(18)
Density functional theory data (PBE-GGA) for a relaxed Pr3Dy3ErS8 crystal.

```
Pr3Dy3ErS8
1.0
3.964 2.288 6.613
-3.964 2.288 6.613
0.000 -4.577 6.613
Pr Dy Er S
3 3 1 8
direct
0.000 0.500 0.500
0.500 0.000 0.500
0.500 0.500 0.000
0.000 0.000 0.500
0.000 0.500 0.000
0.500 0.000 0.000
0.500 0.500 0.500
0.244 0.244 0.244
0.244 0.744 0.744
0.256 0.256 0.756
0.256 0.756 0.256
0.744 0.244 0.744
0.744 0.744 0.244
0.756 0.256 0.256
0.756 0.756 0.756
```

Summary:
- Uncorrected energy: -6.43 eV/atom
- Space group: R-3m
- Total magnetization: 0.0 μB/f.u.
- Fermi-level density of states: 6.98 states/eV/f.u.


(19)
Density functional theory data (PBE-GGA) for a relaxed Pr3Dy2ErS6 crystal.

```
Pr3Dy2ErS6
1.0
3.424 -5.949 0.000
3.424 5.949 0.000
-2.292 0.000 6.664
Pr Dy Er S
3 2 1 6
direct
0.000 0.000 0.000
0.332 0.668 0.000
0.668 0.332 0.000
0.167 0.833 0.500
0.833 0.167 0.500
0.500 0.500 0.500
0.093 0.424 0.271
0.246 0.246 0.730
0.424 0.093 0.271
0.576 0.907 0.729
0.754 0.754 0.270
0.907 0.576 0.729
```

Summary:
- Uncorrected energy: -6.42 eV/atom
- Space group: C2/m
- Total magnetization: 0.0 μB/f.u.
- Fermi-level density of states: 5.06 states/eV/f.u.


(20)
Density functional theory data (PBE-GGA) for a relaxed PrDy4ErS8 crystal.

```
PrDy4ErS8
1.0
4.051 2.339 6.595
-4.051 2.339 6.595
0.000 -4.677 6.595
Pr Dy Er S
1 4 1 8
direct
0.000 0.000 0.000
0.127 0.624 0.624
0.249 0.249 0.249
0.624 0.127 0.624
0.624 0.624 0.127
0.624 0.624 0.624
0.381 0.381 0.381
0.383 0.383 0.852
0.383 0.852 0.383
0.411 0.861 0.861
0.852 0.383 0.383
0.861 0.411 0.861
0.861 0.861 0.411
0.863 0.863 0.863
```

Summary:
- Uncorrected energy: -6.27 eV/atom
- Space group: R3m
- Total magnetization: 0.0 μB/f.u.
- Fermi-level density of states: 8.49 states/eV/f.u.